# Li3Tb4ThSe8 GGA-PBE optimized geometry
data_Li3Tb4ThSe8
_chemical_formula_sum 'Li9 Tb12 Th3 Se24'
_cell_length_a 8.1421
_cell_length_b 8.1421
_cell_length_c 20.0040
_cell_angle_alpha 90.00
_cell_angle_beta 90.00
_cell_angle_gamma 120.00
_space_group_name_H-M_alt 'R -3 m'
_space_group_IT_number 166
_space_group_name_Hall '-R 3 2"'
loop_
_atom_site_label
_atom_site_fract_x
_atom_site_fract_y
_atom_site_fract_z
Li1 0.0000 0.5000 0.0000
Tb1 0.0000 0.0000 0.5000
Tb2 0.0000 0.5000 0.5000
Th1 0.0000 0.0000 0.0000
Se1 0.0000 0.0000 0.2512
Se2 0.0088 0.5044 0.2518
# M_tot, Bohr magnetons per cell: 0.000
# Energy relative to the elements, uncorrected, meV/atom: -1680
# Fermi-level density of states, states/eV/cell: 16.10
# DFT total energy, Ha/atom: -0.199